No. 1
Compound: Sc2TaTcC6
Source: the Open Quantum Materials Database
Functional: PBE
Structure: relaxed

As for the total magnetization: 0.0 μB/cell. As for the calculated total energy: -162.6 eV for the cell shown. The theoretical density comes out at 6.0 g/cm3.

Cell lengths 5.3304, 5.3304, 9.9751 Å; angles 90.00, 90.00, 120.00 degrees
With the nearest neighbours (Å) after each atom.
Space group P-31c (No. 163)
Unique sites:
Sc  0.3333  0.6667  0.0532 [4 per cell]  6 C 2.28-2.29
Ta  0.0000  0.0000  0.2500 [2 per cell]  6 C 2.14
Tc  0.3333  0.6667  0.7500 [2 per cell]  6 C 2.09
C  0.0850  0.3407  0.8878 [12 per cell]  1 Tc 2.09, 1 Ta 2.14, 2 Sc 2.28-2.29

---

No. 2
Compound: NaNdCdS3
Source: the Open Quantum Materials Database
Functional: PBE
Structure: relaxed

As for the total magnetization: 0.0 μB/cell. As for the calculated total energy: -109.2 eV for the cell shown. The theoretical density comes out at 3.7 g/cm3.

Cell lengths 14.2081, 4.1341, 11.3855 Å; angles 90.00, 90.00, 90.00 degrees
With the nearest neighbours (Å) after each atom.
Space group Pnma (No. 62)
Unique sites:
Na  0.2112  0.2500  0.1908 [4 per cell]  5 S 2.88-2.95
Nd  0.0423  0.7500  0.8538 [4 per cell]  6 S 2.75-3.03
Cd  0.0388  0.2500  0.6000 [4 per cell]  4 S 2.52-2.62
S  0.0689  0.2500  0.3732 [4 per cell]  3 Cd 2.59-2.62, 1 Na 2.90
S  0.0879  0.7500  0.0888 [4 per cell]  3 Nd 2.75-2.85, 2 Na 2.95
S  0.1601  0.2500  0.7618 [4 per cell]  1 Cd 2.52

---

No. 3
Compound: Cu5Ag4
Source: the Open Quantum Materials Database
Functional: PBE
Structure: relaxed

As for the calculated total energy: -58.2 eV for the cell shown. As for the calculated formation energy: 0.088 eV/atom. The theoretical density comes out at 9.5 g/cm3.

Cell lengths 8.7151, 3.8570, 8.2722 Å; angles 90.00, 109.21, 90.00 degrees
With the nearest neighbours (Å) after each atom.
Space group Cm (No. 8)
Unique sites:
Cu  0.0000  0.0000  0.0000 [2 per cell]  9 Cu 2.56-2.85, 3 Ag 2.64-2.66
Cu  0.0017  0.0000  0.3139 [2 per cell]  3 Cu 2.59-2.70, 8 Ag 2.73-2.87
Cu  0.1892  0.5000  0.8960 [2 per cell]  8 Cu 2.56-2.85, 4 Ag 2.62-2.74
Cu  0.3388  0.0000  0.0957 [2 per cell]  7 Cu 2.49-2.70, 4 Ag 2.70-2.78
Cu  0.3558  0.0000  0.8014 [2 per cell]  6 Cu 2.49-2.75, 3 Ag 2.74-2.77
Ag  0.0196  0.0000  0.6878 [2 per cell]  6 Cu 2.64-2.77, 5 Ag 2.78-2.89
Ag  0.1667  0.5000  0.2039 [2 per cell]  9 Cu 2.62-2.77, 3 Ag 2.79-2.92
Ag  0.1815  0.5000  0.5615 [2 per cell]  5 Cu 2.74-2.87, 7 Ag 2.77-2.92
Ag  0.3448  0.0000  0.4336 [2 per cell]  5 Cu 2.73-3.01, 7 Ag 2.77-2.89

---

> theoretical density of number 2 (NaNdCdS3)?

3.7 g/cm3

---

> What is the formula in the first record?

Sc2TaTcC6

---

> The lowest calculated total energy belongs to which entry?

Sc2TaTcC6